No. 1
Material: Mg2PCl
Method: DFT, PBE-GGA
State: optimized geometry

The structure in POSCAR format:
```
Mg2PCl
1.0
-2.403 3.336 3.075
-3.157 -2.267 -0.009
1.352 -1.896 3.113
Cl P Mg
1 1 2
Direct
0.500 0.875 0.875
0.000 0.375 0.375
0.000 0.875 0.875
0.500 0.375 0.375
```

Properties
formation energy without anion corrections: -88.1 kJ/mol of atoms
relative energy among the computed polymorphs: 89 meV per atom

---

No. 2
Material: MgPCl2
Method: DFT, PBE-GGA
State: optimized geometry

The structure in POSCAR format:
```
MgPCl2
1.0
-2.405 2.672 2.066
-0.511 -3.011 3.300
3.602 1.508 2.244
Cl P Mg
2 1 1
Direct
0.000 0.000 0.000
0.000 0.500 0.500
0.500 0.750 0.750
0.500 0.250 0.250
```

Properties
formation energy without anion corrections: -29.7 kJ/mol of atoms
relative energy among the computed polymorphs: 375 meV per atom

---

No. 3
Material: MgP3Cl
Method: DFT, PBE-GGA
State: optimized geometry

The structure in POSCAR format:
```
MgP3Cl
1.0
-3.168 -2.817 -1.864
3.153 -1.547 -3.020
1.214 -3.335 2.976
P Cl Mg
3 1 1
Direct
0.500 0.000 0.000
0.000 0.000 0.500
0.000 0.500 0.000
0.000 0.000 0.000
0.500 0.500 0.500
```

Properties
formation energy without anion corrections: 100.3 kJ/mol of atoms
relative energy among the computed polymorphs: 0 meV per atom

---

No. 4
Material: MgPPbCl2
Method: DFT, PBE-GGA
State: optimized geometry

The structure in POSCAR format:
```
MgPPbCl2
1.0
4.780 0.000 0.000
0.000 4.780 0.000
0.000 0.000 6.364
Cl P Pb Mg
2 1 1 1
Direct
0.000 0.500 0.000
0.500 0.000 0.000
0.000 0.000 0.500
0.500 0.500 0.500
0.000 0.000 0.000
```

Properties
formation energy without anion corrections: -49.4 kJ/mol of atoms
relative energy among the computed polymorphs: 0 meV per atom

---

No. 5
Material: MgP2PbCl
Method: DFT, PBE-GGA
State: optimized geometry

The structure in POSCAR format:
```
MgP2PbCl
1.0
5.074 0.000 0.000
0.000 5.074 0.000
0.000 0.000 5.693
P Mg Cl Pb
2 1 1 1
Direct
0.500 0.000 0.000
0.000 0.500 0.000
0.000 0.000 0.000
0.000 0.000 0.500
0.500 0.500 0.500
```

Properties
formation energy without anion corrections: 23.1 kJ/mol of atoms
relative energy among the computed polymorphs: 0 meV per atom

---

No. 6
Material: MgPPbCl2
Method: DFT, PBE-GGA
State: optimized geometry

The structure in POSCAR format:
```
MgPPbCl2
1.0
-3.571 4.344 0.142
-2.961 -2.566 4.035
3.525 2.756 4.340
Mg Cl Pb P
1 2 1 1
Direct
0.500 0.500 0.500
0.000 0.500 0.000
0.500 0.000 0.000
0.000 0.000 0.000
0.000 0.000 0.500
```

Properties
formation energy without anion corrections: 7.7 kJ/mol of atoms
relative energy among the computed polymorphs: 592 meV per atom

---

No. 7
Material: MgP2PbCl
Method: DFT, PBE-GGA
State: optimized geometry

The structure in POSCAR format:
```
MgP2PbCl
1.0
-1.619 -0.131 -5.175
1.053 -5.317 -0.195
-5.078 -1.065 1.616
P Pb Mg Cl
2 1 1 1
Direct
0.500 0.000 0.000
0.000 0.500 0.000
0.000 0.000 0.000
0.500 0.500 0.500
0.000 0.000 0.500
```

Properties
formation energy without anion corrections: 61.1 kJ/mol of atoms
relative energy among the computed polymorphs: 394 meV per atom

---

No. 8
Material: MgPPtCl2
Method: DFT, PBE-GGA
State: optimized geometry

The structure in POSCAR format:
```
MgPPtCl2
1.0
-4.381 -1.374 -1.924
-0.237 -3.776 3.237
-2.205 2.755 3.052
Cl Pt Mg P
2 1 1 1
Direct
0.000 0.500 0.000
0.500 0.000 0.000
0.000 0.000 0.000
0.500 0.500 0.500
0.000 0.000 0.500
```

Properties
formation energy without anion corrections: -1.3 kJ/mol of atoms
relative energy among the computed polymorphs: 0 meV per atom

---

No. 9
Material: MgPPtCl2
Method: DFT, PBE-GGA
State: optimized geometry

The structure in POSCAR format:
```
MgPPtCl2
1.0
4.409 0.000 0.000
0.000 4.409 0.000
0.000 0.000 6.801
Cl Mg Pt P
2 1 1 1
Direct
0.500 0.000 0.000
0.000 0.500 0.000
0.000 0.000 0.000
0.500 0.500 0.500
0.000 0.000 0.500
```

Properties
formation energy without anion corrections: 23.8 kJ/mol of atoms
relative energy among the computed polymorphs: 260 meV per atom

---

No. 10
Material: Rb2MgPCl6
Method: DFT, PBE-GGA
State: optimized geometry

The structure in POSCAR format:
```
Rb2MgPCl6
1.0
7.600 0.000 0.000
0.000 7.600 0.000
3.800 3.800 4.547
Mg Cl Rb P
1 6 2 1
Direct
0.500 0.500 0.000
0.756 0.756 0.489
0.262 0.738 0.000
0.738 0.738 0.000
0.262 0.262 0.000
0.244 0.244 0.511
0.738 0.262 0.000
0.250 0.750 0.500
0.750 0.250 0.500
0.000 0.000 0.000
```

Properties
formation energy without anion corrections: -119.3 kJ/mol of atoms

---

No. 11
Material: MgReP2Cl
Method: DFT, PBE-GGA
State: optimized geometry

The structure in POSCAR format:
```
MgReP2Cl
1.0
4.864 0.000 0.000
0.000 4.864 0.000
0.000 0.000 4.562
P Cl Re Mg
2 1 1 1
Direct
0.500 0.000 0.000
0.000 0.500 0.000
0.000 0.000 0.500
0.500 0.500 0.500
0.000 0.000 0.000
```

Properties
formation energy without anion corrections: 122.3 kJ/mol of atoms
relative energy among the computed polymorphs: 1046 meV per atom

---

No. 12
Material: MgReP2Cl
Method: DFT, PBE-GGA
State: optimized geometry

The structure in POSCAR format:
```
MgReP2Cl
1.0
-0.478 -4.414 1.044
3.099 0.449 3.316
-3.820 1.219 3.405
Re Mg Cl P
1 1 1 2
Direct
0.000 0.000 0.000
0.500 0.500 0.500
0.000 0.000 0.500
0.000 0.500 0.000
0.500 0.000 0.000
```

Properties
formation energy without anion corrections: 21.4 kJ/mol of atoms
relative energy among the computed polymorphs: 0 meV per atom

---

No. 13
Material: MgPRhCl2
Method: DFT, PBE-GGA
State: optimized geometry

The structure in POSCAR format:
```
MgPRhCl2
1.0
-3.921 2.924 -0.673
-2.139 -1.946 4.002
1.935 3.190 2.585
Cl Mg Rh P
2 1 1 1
Direct
0.000 0.500 0.000
0.500 0.000 0.000
0.500 0.500 0.500
0.000 0.000 0.000
0.000 0.000 0.500
```

Properties
formation energy without anion corrections: -11.3 kJ/mol of atoms
relative energy among the computed polymorphs: 0 meV per atom

---

No. 14
Material: MgPRhCl2
Method: DFT, PBE-GGA
State: optimized geometry

The structure in POSCAR format:
```
MgPRhCl2
1.0
-1.951 -0.866 -3.924
-0.327 -4.313 1.114
-5.577 1.078 2.535
Mg Cl P Rh
1 2 1 1
Direct
0.000 0.000 0.000
0.500 0.000 0.000
0.000 0.500 0.000
0.000 0.000 0.500
0.500 0.500 0.500
```

Properties
formation energy without anion corrections: 26.4 kJ/mol of atoms
relative energy among the computed polymorphs: 390 meV per atom

---

No. 15
Material: MgPRuCl2
Method: DFT, PBE-GGA
State: optimized geometry

The structure in POSCAR format:
```
MgPRuCl2
1.0
4.935 0.000 0.000
0.000 4.935 0.000
0.000 0.000 4.500
Cl Ru Mg P
2 1 1 1
Direct
0.000 0.500 0.000
0.500 0.000 0.000
0.000 0.000 0.000
0.500 0.500 0.500
0.000 0.000 0.500
```

Properties
formation energy without anion corrections: -3.0 kJ/mol of atoms
relative energy among the computed polymorphs: 0 meV per atom

---

| no. | magnetization (μB/f.u.) |
| --- | --- |
| 1 | 0.0 |
| 2 | 0.0 |
| 3 | 0.0 |
| 4 | 0.0 |
| 5 | 0.7 |
| 6 | 0.9 |
| 7 | 1.0 |
| 8 | 0.0 |
| 9 | 1.6 |
| 10 | 1.0 |
| 11 | 3.5 |
| 12 | 0.0 |
| 13 | 0.0 |
| 14 | 2.7 |
| 15 | 0.0 |